--- P ---
The following is a GGA-PBE calculation of a relaxed Pm6Ho12Tm crystal, from the Alexandria database.

Calculated values
SG = No. 166
V = 617.8 Å³ per cell
crystal system = trigonal

POSCAR file:
```
Pm6Ho12Tm
1.0
5.533 3.194 5.826
-5.533 3.194 5.826
0.000 -6.388 5.826
Pm Ho Tm
6 12 1
Direct
0.268 0.268 0.662
0.268 0.662 0.268
0.338 0.732 0.732
0.662 0.268 0.268
0.732 0.338 0.732
0.732 0.732 0.338
0.013 0.363 0.363
0.014 0.014 0.695
0.014 0.695 0.014
0.305 0.986 0.986
0.363 0.013 0.363
0.363 0.363 0.013
0.637 0.637 0.987
0.637 0.987 0.637
0.695 0.014 0.014
0.986 0.305 0.986
0.986 0.986 0.305
0.987 0.637 0.637
0.500 0.500 0.500
```

***

--- Q ---
The following is a GGA-PBE calculation of a relaxed Pm6Ho12Tm crystal, from the Alexandria database.

Calculated values
SG = No. 166
V = 667.5 Å³ per cell
crystal system = trigonal

POSCAR file:
```
Pm6Ho12Tm
1.0
7.551 4.360 3.380
-7.551 4.360 3.380
0.000 -8.719 3.380
Pm Ho Tm
6 12 1
Direct
0.291 0.676 0.676
0.324 0.324 0.709
0.324 0.709 0.324
0.676 0.291 0.676
0.676 0.676 0.291
0.709 0.324 0.324
0.083 0.317 0.317
0.111 0.500 0.889
0.111 0.889 0.500
0.317 0.083 0.317
0.317 0.317 0.083
0.500 0.111 0.889
0.500 0.889 0.111
0.683 0.683 0.917
0.683 0.917 0.683
0.889 0.111 0.500
0.889 0.500 0.111
0.917 0.683 0.683
0.000 0.000 0.000
```

***

List of relative energies, unit meV/atom: P 0; Q 338

***

--- P ---
The following is a GGA-PBE calculation of a relaxed Pm2HoTm9 crystal, from the Alexandria database.

Calculated values
SG = No. 191
V = 372.0 Å³ per cell
crystal system = hexagonal

POSCAR file:
```
Pm2HoTm9
1.0
11.122 0.000 0.000
-5.561 9.632 0.000
0.000 0.000 3.472
Pm Ho Tm
2 1 9
Direct
0.333 0.667 0.000
0.667 0.333 0.000
0.000 0.000 0.000
0.000 0.500 0.000
0.175 0.349 0.500
0.175 0.825 0.500
0.349 0.175 0.500
0.500 0.000 0.000
0.500 0.500 0.000
0.651 0.825 0.500
0.825 0.175 0.500
0.825 0.651 0.500
```

***

--- Q ---
The following is a GGA-PBE calculation of a relaxed Pm2HoTm9 crystal, from the Alexandria database.

Calculated values
SG = No. 123
V = 373.2 Å³ per cell
crystal system = tetragonal

POSCAR file:
```
Pm2HoTm9
1.0
5.807 0.000 0.000
0.000 5.807 0.000
0.000 0.000 11.065
Pm Ho Tm
2 1 9
Direct
0.000 0.000 0.167
0.000 0.000 0.833
0.000 0.000 0.500
0.000 0.500 0.000
0.000 0.500 0.336
0.000 0.500 0.664
0.500 0.000 0.000
0.500 0.000 0.336
0.500 0.000 0.664
0.500 0.500 0.167
0.500 0.500 0.500
0.500 0.500 0.833
```

***

List of relative energies, unit meV/atom: P 0; Q 55

***

--- P ---
The following is a GGA-PBE calculation of a relaxed PmHo2Tm9 crystal, from the Alexandria database.

Calculated values
SG = No. 123
V = 366.0 Å³ per cell
crystal system = tetragonal

POSCAR file:
```
PmHo2Tm9
1.0
4.960 0.000 0.000
0.000 4.960 0.000
0.000 0.000 14.877
Pm Ho Tm
1 2 9
Direct
0.000 0.000 0.000
0.000 0.000 0.334
0.000 0.000 0.666
0.000 0.500 0.168
0.000 0.500 0.500
0.000 0.500 0.832
0.500 0.000 0.168
0.500 0.000 0.500
0.500 0.000 0.832
0.500 0.500 0.000
0.500 0.500 0.335
0.500 0.500 0.665
```

***

--- Q ---
The following is a GGA-PBE calculation of a relaxed PmHo2Tm9 crystal, from the Alexandria database.

Calculated values
SG = No. 191
V = 369.6 Å³ per cell
crystal system = hexagonal

POSCAR file:
```
PmHo2Tm9
1.0
11.075 0.000 0.000
-5.538 9.592 0.000
0.000 0.000 3.479
Pm Ho Tm
1 2 9
Direct
0.000 0.000 0.000
0.333 0.667 0.000
0.667 0.333 0.000
0.000 0.500 0.000
0.178 0.357 0.500
0.178 0.822 0.500
0.357 0.178 0.500
0.500 0.000 0.000
0.500 0.500 0.000
0.643 0.822 0.500
0.822 0.178 0.500
0.822 0.643 0.500
```

***

List of relative energies, unit meV/atom: P 0; Q 19

***

--- P ---
The following is a GGA-PBE calculation of a relaxed Pm2HoTm3 crystal, from the Alexandria database.

Calculated values
SG = No. 12
V = 386.0 Å³ per cell
crystal system = monoclinic

POSCAR file:
```
Pm2HoTm3
1.0
8.841 -1.741 0.000
8.841 1.741 0.000
-6.484 0.000 12.536
Pm Ho Tm
4 2 6
Direct
0.156 0.156 0.469
0.320 0.320 0.119
0.680 0.680 0.881
0.844 0.844 0.531
0.063 0.063 0.643
0.937 0.937 0.357
0.098 0.098 0.026
0.237 0.237 0.292
0.461 0.461 0.791
0.539 0.539 0.209
0.763 0.763 0.708
0.902 0.902 0.974
```

***

--- Q ---
The following is a GGA-PBE calculation of a relaxed Pm2HoTm3 crystal, from the Alexandria database.

Calculated values
SG = No. 2
V = 378.3 Å³ per cell
crystal system = triclinic

POSCAR file:
```
Pm2HoTm3
1.0
6.136 0.000 0.000
1.016 6.059 0.000
0.024 3.103 10.174
Pm Ho Tm
4 2 6
Direct
0.125 0.249 0.125
0.375 0.750 0.375
0.625 0.250 0.625
0.875 0.751 0.875
0.127 0.250 0.791
0.873 0.750 0.209
0.123 0.250 0.459
0.374 0.750 0.709
0.377 0.749 0.041
0.623 0.251 0.959
0.626 0.250 0.291
0.877 0.750 0.541
```

***

List of relative energies, unit meV/atom: P 101; Q 0

***

--- P ---
The following is a GGA-PBE calculation of a relaxed PmHo2Tm6 crystal, from the Alexandria database.

Calculated values
SG = No. 187
V = 282.2 Å³ per cell
crystal system = hexagonal

POSCAR file:
```
PmHo2Tm6
1.0
3.559 0.000 0.000
-1.780 3.083 0.000
0.000 0.000 25.720
Pm Ho Tm
1 2 6
Direct
0.000 0.000 0.000
0.333 0.667 0.328
0.333 0.667 0.672
0.000 0.000 0.220
0.000 0.000 0.435
0.000 0.000 0.565
0.000 0.000 0.780
0.333 0.667 0.113
0.333 0.667 0.887
```

***

--- Q ---
The following is a GGA-PBE calculation of a relaxed PmHo2Tm6 crystal, from the Alexandria database.

Calculated values
SG = No. 15
V = 558.5 Å³ per cell
crystal system = monoclinic

POSCAR file:
```
PmHo2Tm6
1.0
6.337 -6.982 0.000
6.337 6.982 0.000
-1.469 0.000 6.312
Pm Ho Tm
2 4 12
Direct
0.122 0.878 0.750
0.878 0.122 0.250
0.335 0.384 0.631
0.384 0.335 0.131
0.616 0.665 0.869
0.665 0.616 0.369
0.049 0.221 0.819
0.060 0.462 0.269
0.221 0.049 0.319
0.279 0.650 0.999
0.350 0.721 0.501
0.462 0.060 0.769
0.538 0.940 0.231
0.650 0.279 0.499
0.721 0.350 0.001
0.779 0.951 0.681
0.940 0.538 0.731
0.951 0.779 0.181
```

***

List of relative energies, unit meV/atom: P 0; Q 48